DFT (PBE) results for crystalline CeTc2Mo at its relaxed geometry.

## Properties
spin magnetization	0.000	μB per formula unit
ΔE_f	0.148	eV/atom
crystal system	tetragonal
volume	70	Å³/f.u.

CIF file:
```
data_CeTc2Mo
_chemical_formula_sum 'Ce1 Tc2 Mo1'
_cell_length_a 3.206
_cell_length_b 4.684
_cell_length_c 4.684
_cell_angle_alpha 90.00
_cell_angle_beta 90.00
_cell_angle_gamma 90.00
_symmetry_space_group_name_H-M 'P 1'
_symmetry_Int_Tables_number 1
_symmetry_space_group_name_Hall 'P 1'
loop_
_atom_site_label
_atom_site_type_symbol
_atom_site_fract_x
_atom_site_fract_y
_atom_site_fract_z
Mo1 Mo 0.500 0.500 0.500
Tc1 Tc 0.000 0.000 0.500
Tc2 Tc 0.000 0.500 0.000
Ce1 Ce 0.500 0.000 0.000
```